[1]
GGA-PBE Tl2GeCl8, relaxed; crystal system = monoclinic; Fermi-level density of states = 0.00 states/eV/cell; density = 3163 kg/m3; E = -2.851 eV per atom; size of the total moment = 0.0 μB per formula unit
1.0
-5.920 -2.217 1.660
4.304 -5.954 3.343
2.252 2.513 7.333
Cl Ge Tl
8 1 2
Direct
0.215 0.096 0.714
0.215 0.714 0.096
0.785 0.904 0.286
0.783 0.390 0.390
0.785 0.286 0.904
0.722 0.823 0.823
0.278 0.177 0.177
0.217 0.610 0.610
0.000 0.000 0.000
0.670 0.206 0.206
0.330 0.794 0.794

***

[2]
GGA-PBE Tl3GeCl4, relaxed; crystal system = orthorhombic; Fermi-level density of states = 4.70 states/eV/cell; density = 5123 kg/m3; E = -3.104 eV per atom; size of the total moment = 0.0 μB per formula unit
1.0
7.514 0.000 0.000
0.000 6.160 0.000
0.000 0.000 11.591
Cl Tl Ge
8 6 2
Direct
0.577 0.818 0.267
0.077 0.182 0.233
0.560 0.224 0.500
0.756 0.227 0.000
0.077 0.182 0.767
0.256 0.773 0.500
0.577 0.818 0.733
0.060 0.776 0.000
0.986 0.185 0.500
0.486 0.815 0.000
0.486 0.299 0.790
0.986 0.701 0.710
0.986 0.701 0.290
0.486 0.299 0.210
0.087 0.163 0.000
0.587 0.837 0.500

***

[3]
GGA-PBE Tl3Ge5Cl12, relaxed; crystal system = cubic; Fermi-level density of states = 30.65 states/eV/cell; density = 3606 kg/m3; E = -3.330 eV per atom; size of the total moment = 0.0 μB per formula unit
1.0
-11.577 0.114 -9.490
-0.448 -12.472 8.268
-0.780 11.962 8.967
Cl Tl Ge
48 12 20
Direct
0.916 0.093 0.613
0.303 0.887 0.980
0.887 0.303 0.480
0.387 0.980 0.803
0.416 0.303 0.323
0.980 0.593 0.177
0.020 0.407 0.823
0.584 0.887 0.407
0.407 0.387 0.584
0.177 0.093 0.980
0.593 0.613 0.416
0.980 0.387 0.303
0.916 0.823 0.803
0.020 0.613 0.697
0.803 0.480 0.387
0.113 0.697 0.520
0.416 0.113 0.593
0.197 0.677 0.084
0.480 0.803 0.887
0.177 0.084 0.697
0.387 0.407 0.084
0.084 0.177 0.197
0.697 0.113 0.020
0.323 0.520 0.407
0.093 0.916 0.113
0.197 0.520 0.613
0.803 0.323 0.916
0.084 0.907 0.387
0.520 0.323 0.907
0.613 0.020 0.197
0.823 0.916 0.303
0.823 0.907 0.020
0.677 0.480 0.593
0.887 0.584 0.907
0.520 0.197 0.113
0.480 0.677 0.093
0.093 0.177 0.480
0.697 0.584 0.177
0.907 0.823 0.520
0.584 0.697 0.677
0.323 0.803 0.416
0.907 0.084 0.887
0.677 0.197 0.584
0.303 0.416 0.823
0.407 0.020 0.323
0.113 0.416 0.093
0.613 0.593 0.916
0.593 0.980 0.677
0.625 0.375 0.750
0.250 0.125 0.375
0.375 0.750 0.625
0.125 0.875 0.750
0.875 0.125 0.250
0.375 0.625 0.250
0.750 0.875 0.625
0.875 0.750 0.125
0.250 0.625 0.875
0.125 0.250 0.875
0.750 0.375 0.125
0.625 0.250 0.375
0.000 0.000 0.500
0.625 0.750 0.875
0.125 0.750 0.375
0.875 0.250 0.625
0.375 0.250 0.125
0.500 0.000 0.500
0.625 0.875 0.250
0.875 0.625 0.750
0.125 0.375 0.250
0.750 0.125 0.875
0.250 0.875 0.125
0.500 0.000 0.000
0.000 0.000 0.000
0.500 0.500 0.000
0.000 0.500 0.500
0.500 0.500 0.500
0.250 0.375 0.625
0.750 0.625 0.375
0.375 0.125 0.750
0.000 0.500 0.000

***

Question: What is the E in the third record?
Answer: -3.330 eV per atom

***

Question: What is the formula in the second record?
Answer: Tl3GeCl4